This record from Alexandria describes a relaxed YSc2Ta crystal. The functional is PBE.

Summary:
Formation energy in kJ per mole of atoms: 15.15
Crystal system: tetragonal
Total magnetization in μB per formula unit: 0.00

The structure in CIF format:
```
data_YSc2Ta
_symmetry_space_group_name_H-M 'P 4/m m m'
_symmetry_Int_Tables_number 123
_symmetry_space_group_name_Hall '-P 4 2'
_cell_length_a 3.132
_cell_length_b 3.132
_cell_length_c 9.776
_cell_angle_alpha 90.00
_cell_angle_beta 90.00
_cell_angle_gamma 90.00
loop_
_atom_site_label
_atom_site_type_symbol
_atom_site_fract_x
_atom_site_fract_y
_atom_site_fract_z
Y1 Y 0.000 0.000 0.000
Sc1 Sc 0.500 0.500 0.286
Ta1 Ta 0.000 0.000 0.500
```